[1]
Crystalline PrSmH at its relaxed geometry, computed with PBE.

* distance to the lowest polymorph of the same formula: 0.081 eV/atom

Unit cell a=3.4920 b=3.4920 c=12.4603 alpha=90.00 beta=90.00 gamma=90.00
Space group I4mm (No. 107)
Asymmetric unit:
Pr 0.0000 0.0000 0.0000 [2 per cell]
Sm 0.0000 0.0000 0.2879 [2 per cell]
H 0.0000 0.0000 0.4714 [2 per cell]



[2]
Crystalline Ti2H2I7 at its relaxed geometry, computed with PBE.

Unit cell a=8.9178 b=16.2815 c=7.2046 alpha=90.00 beta=101.82 gamma=90.00
Space group C2/m (No. 12)
Asymmetric unit:
Ti 0.2329 0.0000 0.1412 [4 per cell]
H 0.0000 0.3649 0.5000 [4 per cell]
I 0.0000 0.5000 0.0000 [2 per cell]
I 0.0680 0.0000 0.7763 [4 per cell]
I 0.2104 0.3609 0.6346 [8 per cell]



[3]
Crystalline Pr2Al5Ag at its relaxed geometry, computed with PBE.

* formation energy from the elements: -0.29 eV/atom

Unit cell a=6.2528 b=6.2528 c=9.0217 alpha=90.00 beta=90.00 gamma=90.00
Space group I4mm (No. 107)
Asymmetric unit:
Pr 0.0000 0.5000 0.0000 [4 per cell]
Al 0.0000 0.0000 0.0242 [2 per cell]
Al 0.2274 0.2274 0.7498 [8 per cell]
Ag 0.0000 0.0000 0.3952 [2 per cell]



Number 1: uncorrected energy -4.4077 eV/atom, M_tot 0.00 μB/cell. Number 2: uncorrected energy -3.3911 eV/atom, M_tot 6.00 μB/cell. Number 3: uncorrected energy -4.1837 eV/atom, M_tot 0.00 μB/cell.